DyErMg | PBE | relaxed

The total DFT energy (no corrections) is -3.1391 eV per atom. As for the space group: F-43m (216). The calculation puts the total moment at 0.07 μB/f.u. The distance to the lowest polymorph of the same formula comes out at 0.490 eV/atom.

Lattice parameters (Å, degrees): 5.204 5.204 5.204 60.00 60.00 60.00
Atoms (fractional coordinates):
Er  0.750  0.750  0.750
Mg  0.000  0.000  0.000
Dy  0.250  0.250  0.250